Entry 1:
The following is a DFT calculation (SCAN) of a crystal of Zn3NiC relaxed with PBEsol.

Structure (CIF):
```
data_Zn3NiC
_chemical_formula_sum 'Zn3 Ni1 C1'
_space_group_name_H-M_alt 'P m -3 m'
_space_group_IT_number 221
_space_group_name_Hall '-P 4 2 3'
_cell_length_a 3.979
_cell_length_b 3.979
_cell_length_c 3.979
_cell_angle_alpha 90.00
_cell_angle_beta 90.00
_cell_angle_gamma 90.00
loop_
_atom_site_label
_atom_site_type_symbol
_atom_site_fract_x
_atom_site_fract_y
_atom_site_fract_z
Zn1 Zn 0.000 0.000 0.500
Ni1 Ni 0.500 0.500 0.500
C1 C 0.000 0.000 0.000
```

crystal system: cubic
calculated density: 7.04 Mg/m³
energy of formation from the pure elements: 0.724 eV/atom
E: -12.64 eV/atom

---

Entry 2:
The following is a DFT calculation (SCAN) of a crystal of CaMnSbI2 relaxed with PBEsol.

Structure (CIF):
```
data_CaMnSbI2
_chemical_formula_sum 'Ca1 Mn1 Sb1 I2'
_space_group_name_H-M_alt 'P 4/m m m'
_space_group_IT_number 123
_space_group_name_Hall '-P 4 2'
_cell_length_a 5.366
_cell_length_b 5.366
_cell_length_c 5.370
_cell_angle_alpha 90.00
_cell_angle_beta 90.00
_cell_angle_gamma 90.00
loop_
_atom_site_label
_atom_site_type_symbol
_atom_site_fract_x
_atom_site_fract_y
_atom_site_fract_z
Ca1 Ca 0.000 0.000 0.000
Mn1 Mn 0.500 0.500 0.500
Sb1 Sb 0.500 0.500 0.000
I1 I 0.000 0.500 0.500
```

crystal system: tetragonal
calculated density: 5.05 Mg/m³
E: -28.13 eV/atom
energy relative to the elements, uncorrected: -0.395 eV/atom

---

Entry 3:
The following is a DFT calculation (SCAN) of a crystal of BaCuSi2 relaxed with PBEsol.

Structure (CIF):
```
data_BaCuSi2
_chemical_formula_sum 'Ba1 Cu1 Si2'
_space_group_name_H-M_alt 'P m m m'
_space_group_IT_number 47
_cell_length_a 3.105
_cell_length_b 3.634
_cell_length_c 6.995
_cell_angle_alpha 90.00
_cell_angle_beta 90.00
_cell_angle_gamma 90.00
loop_
_space_group_symop_operation_xyz
'x,y,z'
'-x,-y,-z'
'-x,-y,z'
'x,y,-z'
'x,-y,-z'
'-x,y,z'
'-x,y,-z'
'x,-y,z'
loop_
_atom_site_label
_atom_site_type_symbol
_atom_site_fract_x
_atom_site_fract_y
_atom_site_fract_z
Ba1 Ba 0.000 0.000 0.000
Cu1 Cu 0.000 0.000 0.500
Si1 Si 0.500 0.500 0.334
```

crystal system: orthorhombic
calculated density: 5.41 Mg/m³
E: -18.59 eV/atom
energy relative to the elements, uncorrected: 0.101 eV/atom

---

Question: calculated density of number 2 (CaMnSbI2)?
Answer: 5.05 Mg/m³